Record 1
# MgInFeHg2

MgInFeHg2 after structural relaxation (PBE-GGA, Alexandria).

Cell: 5.077 4.938 5.077 Å, 90.00 90.00 90.00°
Sites, in units of the cell vectors:
Hg 0.500 0.000 0.000
Hg 0.000 0.000 0.500
In 0.000 0.500 0.000
Mg 0.500 0.500 0.500
Fe 0.000 0.000 0.000

energy of formation: 2.4 eV/f.u.
total magnetic moment: 0.16 μB/f.u.
SG: P4/mmm


Record 2
# MgTl8Bi2

MgTl8Bi2 after structural relaxation (PBE-GGA, Alexandria).

Cell: 6.952 8.129 8.129 Å, 71.45 108.80 108.80°
Sites, in units of the cell vectors:
Mg 0.000 0.000 0.000
Tl 0.789 0.573 0.188
Tl 0.789 0.188 0.573
Tl 0.182 0.836 0.836
Tl 0.818 0.164 0.164
Tl 0.245 0.406 0.406
Tl 0.211 0.812 0.427
Tl 0.211 0.427 0.812
Tl 0.755 0.594 0.594
Bi 0.399 0.206 0.206
Bi 0.601 0.794 0.794

energy of formation: 1.2 eV/f.u.
total magnetic moment: 0.00 μB/f.u.
SG: C2/m


Record 3
# Ti2AgH2

Ti2AgH2 after structural relaxation (PBE-GGA, Alexandria).

Cell: 6.944 6.944 2.615 Å, 90.00 90.00 90.00°
Sites, in units of the cell vectors:
H 0.099 0.599 0.500
H 0.901 0.401 0.500
H 0.599 0.901 0.500
H 0.401 0.099 0.500
Ti 0.631 0.131 0.000
Ti 0.369 0.869 0.000
Ti 0.869 0.631 0.000
Ti 0.131 0.369 0.000
Ag 0.000 0.000 0.000
Ag 0.500 0.500 0.000

DFT total energy: -0.347 Ry per atom
total magnetic moment: 0.00 μB/f.u.
SG: P4/mbm


Record 4
# K3Pu3AgTe8

K3Pu3AgTe8 after structural relaxation (PBE-GGA, Alexandria).

Cell: 8.735 9.002 9.833 Å, 118.27 90.00 119.02°
Sites, in units of the cell vectors:
Te 0.759 0.970 0.689
Te 0.211 0.970 0.689
Te 0.789 0.030 0.311
Te 0.291 0.583 0.743
Te 0.736 0.472 0.711
Te 0.709 0.417 0.257
Te 0.241 0.030 0.311
Te 0.264 0.528 0.289
Pu 0.000 0.500 0.500
Pu 0.500 0.000 0.500
Pu 0.500 0.500 0.500
Ag 0.000 0.000 0.500
K 0.000 0.000 0.000
K 0.000 0.500 0.000
K 0.500 0.500 0.000

total magnetic moment: 14.06 μB/f.u.
SG: C2/m
raw formation energy: -12.54 eV/f.u.